Record 1
# YCu

YCu after structural relaxation (PBE, Alexandria via LeMat-Bulk).

Results
- VASP energy: -0.39719 Ry/atom
- Crystal system: orthorhombic
- Total magnetic moment: 0.0 μB/f.u.
- ΔE_f: -0.1239 eV per atom

a b c (Å): 6.6123 6.6123 6.6123
angles (deg): 146.65 68.91 121.63
Positions (direct):
Y 0.0000 0.0000 0.0000
Y 0.4788 0.1652 0.3136
Y 0.8515 0.1652 0.6864
Cu 0.1336 0.7511 0.3825
Cu 0.3685 0.7511 0.6175
Cu 0.4740 0.4740 0.0000

---

Record 2
# Ta2AlCO

Ta2AlCO after structural relaxation (PBE, Alexandria via LeMat-Bulk).

Results
- VASP energy: -0.57947 Ry/atom
- Formation energy without anion corrections: 442 meV per atom
- Crystal system: tetragonal
- Total magnetic moment: 0.0 μB/f.u.

a b c (Å): 4.3644 4.3644 3.6918
angles (deg): 90.00 90.00 90.00
Positions (direct):
Ta 0.0000 0.5000 0.0000
Ta 0.5000 0.0000 0.0000
Al 0.0000 0.0000 0.5000
C 0.5000 0.5000 0.0000
O 0.5000 0.5000 0.5000

---

Record 3
# Na3Mn3SiSe8

Na3Mn3SiSe8 after structural relaxation (PBE, Alexandria via LeMat-Bulk).

Results
- VASP energy: -0.36528 Ry/atom
- Formation energy without anion corrections: -652 meV per atom
- Crystal system: monoclinic
- Total magnetic moment: 11.3 μB/f.u.

a b c (Å): 7.3997 7.3997 8.3072
angles (deg): 116.41 116.41 60.15
Positions (direct):
Na 0.0000 0.0000 0.0000
Na 0.0000 0.5000 0.0000
Na 0.5000 0.0000 0.0000
Mn 0.0000 0.5000 0.5000
Mn 0.5000 0.0000 0.5000
Mn 0.5000 0.5000 0.5000
Si 0.0000 0.0000 0.5000
Se 0.2272 0.2272 0.6947
Se 0.2269 0.7404 0.6950
Se 0.2596 0.7731 0.3050
Se 0.2655 0.2655 0.2958
Se 0.7345 0.7345 0.7042
Se 0.7404 0.2269 0.6950
Se 0.7731 0.2596 0.3050
Se 0.7728 0.7728 0.3053

---

Record 4
# TbErPu2P4

TbErPu2P4 after structural relaxation (PBE, Alexandria via LeMat-Bulk).

Results
- VASP energy: -0.64823 Ry/atom
- Crystal system: monoclinic
- Total magnetic moment: 9.8 μB/f.u.
- ΔE_f: -1.3826 eV per atom

a b c (Å): 6.8755 4.0058 6.9369
angles (deg): 90.00 109.66 90.00
Positions (direct):
Tb 0.0000 0.0000 0.0000
Er 0.0000 0.5000 0.5000
Pu 0.5000 0.0000 0.5000
Pu 0.5000 0.5000 0.0000
P 0.2543 0.0000 0.7496
P 0.2557 0.5000 0.2537
P 0.7443 0.5000 0.7463
P 0.7457 0.0000 0.2504

---

Record 5
# ThTc2

ThTc2 after structural relaxation (PBE, Alexandria via LeMat-Bulk).

Results
- VASP energy: -0.69940 Ry/atom
- Crystal system: hexagonal
- Total magnetic moment: 0.0 μB/f.u.
- ΔE_f: -0.1319 eV per atom

a b c (Å): 5.2935 5.2935 9.6746
angles (deg): 90.00 90.00 120.00
Positions (direct):
Th 0.3333 0.6667 0.0637
Th 0.3333 0.6667 0.4363
Th 0.6667 0.3333 0.5637
Th 0.6667 0.3333 0.9363
Tc 0.0000 0.0000 0.0000
Tc 0.0000 0.0000 0.5000
Tc 0.1695 0.3389 0.7500
Tc 0.1695 0.8305 0.7500
Tc 0.3389 0.1695 0.2500
Tc 0.6611 0.8305 0.7500
Tc 0.8305 0.1695 0.2500
Tc 0.8305 0.6611 0.2500

---

Record 6
# Sc4BiSe3

Sc4BiSe3 after structural relaxation (PBE, Alexandria via LeMat-Bulk).

Results
- VASP energy: -0.46162 Ry/atom
- Formation energy without anion corrections: -1323 meV per atom
- Crystal system: orthorhombic
- Total magnetic moment: 0.0 μB/f.u.

a b c (Å): 3.9630 5.6362 7.9872
angles (deg): 90.00 90.00 90.00
Positions (direct):
Sc 0.0000 0.0000 0.0000
Sc 0.0000 0.0000 0.5000
Sc 0.5000 0.5000 0.2256
Sc 0.5000 0.5000 0.7744
Bi 0.0000 0.5000 0.5000
Se 0.0000 0.5000 0.0000
Se 0.5000 0.0000 0.2472
Se 0.5000 0.0000 0.7528

---

Record 7
# ScGe2Cl

ScGe2Cl after structural relaxation (PBE, Alexandria via LeMat-Bulk).

Results
- VASP energy: -0.31236 Ry/atom
- Formation energy without anion corrections: 103 meV per atom
- Crystal system: cubic
- Total magnetic moment: 0.0 μB/f.u.

a b c (Å): 4.9052 4.9052 4.9052
angles (deg): 60.00 60.00 60.00
Positions (direct):
Sc 0.0000 0.0000 0.0000
Ge 0.2500 0.2500 0.2500
Ge 0.7500 0.7500 0.7500
Cl 0.5000 0.5000 0.5000

---

Record 8
# La6Ga3Au

La6Ga3Au after structural relaxation (PBE, Alexandria via LeMat-Bulk).

Results
- VASP energy: -0.33593 Ry/atom
- Crystal system: monoclinic
- Total magnetic moment: 0.0 μB/f.u.
- ΔE_f: -0.3783 eV per atom

a b c (Å): 7.5936 8.4608 12.4569
angles (deg): 90.00 127.45 90.00
Positions (direct):
La 0.0395 0.0916 0.2525
La 0.0395 0.4084 0.7525
La 0.2294 0.6768 0.0725
La 0.2294 0.8232 0.5725
La 0.4111 0.1719 0.0643
La 0.4111 0.3281 0.5643
La 0.5889 0.6719 0.4357
La 0.5889 0.8281 0.9357
La 0.7706 0.1768 0.4275
La 0.7706 0.3232 0.9275
La 0.9605 0.5916 0.2475
La 0.9605 0.9084 0.7475
Ga 0.3025 0.1257 0.7466
Ga 0.3025 0.3743 0.2466
Ga 0.5000 0.0000 0.5000
Ga 0.5000 0.5000 0.0000
Ga 0.6975 0.6257 0.7534
Ga 0.6975 0.8743 0.2534
Au 0.0000 0.0000 0.0000
Au 0.0000 0.5000 0.5000

---

Record 9
# Cs2Nd2TiS6

Cs2Nd2TiS6 after structural relaxation (PBE, Alexandria via LeMat-Bulk).

Results
- VASP energy: -0.41330 Ry/atom
- Formation energy without anion corrections: -1632 meV per atom
- Crystal system: monoclinic
- Total magnetic moment: 0.0 μB/f.u.

a b c (Å): 6.9001 6.9001 8.5615
angles (deg): 98.19 98.19 119.29
Positions (direct):
Cs 0.1714 0.8286 0.0000
Cs 0.8286 0.1714 0.0000
Nd 0.3332 0.6668 0.5000
Nd 0.6668 0.3332 0.5000
Ti 0.0000 0.0000 0.5000
S 0.0617 0.3592 0.6761
S 0.2330 0.2330 0.3260
S 0.3592 0.0617 0.6761
S 0.6408 0.9383 0.3239
S 0.7670 0.7670 0.6740
S 0.9383 0.6408 0.3239

---

Record 10
# AcPuCuGe

AcPuCuGe after structural relaxation (PBE, Alexandria via LeMat-Bulk).

Results
- VASP energy: -0.51490 Ry/atom
- Crystal system: cubic
- Total magnetic moment: 6.1 μB/f.u.
- ΔE_f: -0.2171 eV per atom

a b c (Å): 5.2452 5.2452 5.2452
angles (deg): 60.00 60.00 60.00
Positions (direct):
Ac 0.0000 0.0000 0.0000
Pu 0.5000 0.5000 0.5000
Cu 0.7500 0.7500 0.7500
Ge 0.2500 0.2500 0.2500

---

Record 11
# CsCa2TlBr8

CsCa2TlBr8 after structural relaxation (PBE, Alexandria via LeMat-Bulk).

Results
- VASP energy: -0.22832 Ry/atom
- Formation energy without anion corrections: -1389 meV per atom
- Crystal system: triclinic
- Total magnetic moment: 0.0 μB/f.u.

a b c (Å): 6.8697 7.0691 9.2757
angles (deg): 89.92 89.90 88.40
Positions (direct):
Cs 0.0000 0.0000 0.0000
Ca 0.4998 0.5002 0.2538
Ca 0.5002 0.4998 0.7462
Tl 0.0000 0.0000 0.5000
Br 0.2549 0.3452 0.5003
Br 0.2555 0.8494 0.7032
Br 0.2569 0.8509 0.2965
Br 0.2704 0.4026 0.0003
Br 0.7296 0.5974 0.9997
Br 0.7431 0.1491 0.7035
Br 0.7445 0.1506 0.2968
Br 0.7451 0.6548 0.4997

---

Record 12
# InSiOs2

InSiOs2 after structural relaxation (PBE, Alexandria via LeMat-Bulk).

Results
- VASP energy: -0.54588 Ry/atom
- Formation energy without anion corrections: 228 meV per atom
- Crystal system: monoclinic
- Total magnetic moment: 0.0 μB/f.u.

a b c (Å): 4.4476 4.4476 5.2908
angles (deg): 103.42 103.42 39.17
Positions (direct):
In 0.0000 0.0000 0.0000
Si 0.5000 0.5000 0.5000
Os 0.2259 0.2259 0.6955
Os 0.7741 0.7741 0.3045